Material: Fe2SbRh
Method: DFT, PBE
State: relaxed

Values from the calculation:
Formation energy without anion corrections   0.1258 eV per atom
Magnetization   5.77 μB per cell
Crystal system   orthorhombic
ρ   9.2 g cm⁻³
Space-group type   Pmmm, No. 47

```
4
Lattice="2.9313 0.0000 0.0000 0.0000 3.9285 0.0000 0.0000 0.0000 5.2612" Properties=species:S:1:pos:R:3 pbc="T T T"
Fe 0.0000 0.0000 1.2386
Fe 0.0000 0.0000 4.0225
Sb 1.4657 1.9642 2.6306
Rh 1.4657 1.9642 0.0000
```